[1]
This record from Alexandria via LeMat-Bulk describes a relaxed Sb3Te5Au12 crystal. The functional is PBE-GGA.

```
data_Sb3Te5Au12
_chemical_formula_sum 'Sb24 Te40 Au96'
_cell_length_a 16.190
_cell_length_b 16.190
_cell_length_c 16.190
_cell_angle_alpha 90.00
_cell_angle_beta 90.00
_cell_angle_gamma 90.00
_space_group_name_H-M_alt 'I a -3 d'
_space_group_IT_number 230
_space_group_name_Hall '-I 4bd 2c 3'
loop_
_atom_site_label
_atom_site_type_symbol
_atom_site_fract_x
_atom_site_fract_y
_atom_site_fract_z
_atom_site_occupancy
Sb1 Sb 0.000 0.250 0.125 1
Te1 Te 0.000 0.000 0.000 1
Te2 Te 0.000 0.250 0.375 1
Au1 Au 0.015 0.081 0.654 1
```

Results
E_tot, eV/f.u.: -66.393

***

[2]
This record from Alexandria via LeMat-Bulk describes a relaxed LaSbBr2 crystal. The functional is PBE-GGA.

```
data_LaSbBr2
_chemical_formula_sum 'La1 Sb1 Br2'
_cell_length_a 4.492
_cell_length_b 4.492
_cell_length_c 6.410
_cell_angle_alpha 90.00
_cell_angle_beta 90.00
_cell_angle_gamma 90.00
_space_group_name_H-M_alt 'P 4 m m'
_space_group_IT_number 99
loop_
_space_group_symop_operation_xyz
'x,y,z'
'-y,x,z'
'-x,-y,z'
'y,-x,z'
'-x,y,z'
'y,x,z'
'x,-y,z'
'-y,-x,z'
loop_
_atom_site_label
_atom_site_type_symbol
_atom_site_fract_x
_atom_site_fract_y
_atom_site_fract_z
_atom_site_occupancy
La1 La 0.000 0.000 0.000 1
Sb1 Sb 0.500 0.500 0.143 1
Br1 Br 0.000 0.000 0.459 1
Br2 Br 0.500 0.500 0.728 1
```

Results
Distance to the lowest polymorph of the same formula, meV per atom: 138

***

[3]
This record from Alexandria via LeMat-Bulk describes a relaxed Ni5W3 crystal. The functional is PBE-GGA.

```
data_Ni5W3
_chemical_formula_sum 'Ni10 W6'
_cell_length_a 7.512
_cell_length_b 7.628
_cell_length_c 3.580
_cell_angle_alpha 90.00
_cell_angle_beta 90.00
_cell_angle_gamma 90.00
_space_group_name_H-M_alt 'C m m m'
_space_group_IT_number 65
_space_group_name_Hall '-C 2 2'
loop_
_atom_site_label
_atom_site_type_symbol
_atom_site_fract_x
_atom_site_fract_y
_atom_site_fract_z
_atom_site_occupancy
Ni1 Ni 0.000 0.000 0.000 1
Ni2 Ni 0.000 0.246 0.500 1
Ni3 Ni 0.250 0.250 0.000 1
W1 W 0.000 0.500 0.000 1
W2 W 0.241 0.000 0.500 1
```

Results
Distance to the lowest polymorph of the same formula, meV per atom: 0
E_form, meV per atom: 61

***

[4]
This record from Alexandria via LeMat-Bulk describes a relaxed TiZnS2 crystal. The functional is PBE-GGA.

```
data_TiZnS2
_chemical_formula_sum 'Ti3 Zn3 S6'
_cell_length_a 3.5938
_cell_length_b 3.5938
_cell_length_c 21.9624
_cell_angle_alpha 90.00
_cell_angle_beta 90.00
_cell_angle_gamma 120.00
_space_group_name_H-M_alt 'R -3 m'
_space_group_IT_number 166
_space_group_name_Hall '-R 3 2"'
loop_
_atom_site_label
_atom_site_type_symbol
_atom_site_fract_x
_atom_site_fract_y
_atom_site_fract_z
_atom_site_occupancy
Ti1 Ti 0.0000 0.0000 0.0000 1
Zn1 Zn 0.0000 0.0000 0.5000 1
S1 S 0.0000 0.0000 0.1037 1
```

Results
Distance to the lowest polymorph of the same formula, meV per atom: 601

***

[5]
This record from Alexandria via LeMat-Bulk describes a relaxed BaGaS2N crystal. The functional is PBE-GGA.

```
data_BaGaS2N
_chemical_formula_sum 'Ba1 Ga1 S2 N1'
_cell_length_a 5.960
_cell_length_b 5.960
_cell_length_c 5.307
_cell_angle_alpha 90.00
_cell_angle_beta 90.00
_cell_angle_gamma 90.00
_space_group_name_H-M_alt 'P 4/m m m'
_space_group_IT_number 123
_space_group_name_Hall '-P 4 2'
loop_
_atom_site_label
_atom_site_type_symbol
_atom_site_fract_x
_atom_site_fract_y
_atom_site_fract_z
_atom_site_occupancy
Ba1 Ba 0.000 0.000 0.000 1
Ga1 Ga 0.500 0.500 0.500 1
S1 S 0.000 0.500 0.000 1
N1 N 0.000 0.000 0.500 1
```

Results
Distance to the lowest polymorph of the same formula, meV per atom: 1173

***

[6]
This record from Alexandria via LeMat-Bulk describes a relaxed CsInO crystal. The functional is PBE-GGA.

```
data_CsInO
_chemical_formula_sum 'Cs8 In8 O8'
_cell_length_a 5.852
_cell_length_b 13.563
_cell_length_c 8.708
_cell_angle_alpha 90.00
_cell_angle_beta 90.00
_cell_angle_gamma 90.00
_space_group_name_H-M_alt 'C m c e'
_space_group_IT_number 64
_space_group_name_Hall '-C 2ac 2'
loop_
_atom_site_label
_atom_site_type_symbol
_atom_site_fract_x
_atom_site_fract_y
_atom_site_fract_z
_atom_site_occupancy
Cs1 Cs 0.000 0.171 0.088 1
In1 In 0.000 0.045 0.668 1
O1 O 0.000 0.103 0.435 1
```

Results
E_tot, eV/f.u.: -11.817

***

[7]
This record from Alexandria via LeMat-Bulk describes a relaxed VPd3Au2 crystal. The functional is PBE-GGA.

```
data_VPd3Au2
_chemical_formula_sum 'V4 Pd12 Au8'
_cell_length_a 4.965
_cell_length_b 8.590
_cell_length_c 9.175
_cell_angle_alpha 90.00
_cell_angle_beta 100.18
_cell_angle_gamma 90.00
_space_group_name_H-M_alt 'C 1 2/m 1'
_space_group_IT_number 12
loop_
_space_group_symop_operation_xyz
'x,y,z'
'-x,-y,-z'
'-x,y,-z'
'x,-y,z'
'x+1/2,y+1/2,z'
'-x+1/2,-y+1/2,-z'
'-x+1/2,y+1/2,-z'
'x+1/2,-y+1/2,z'
loop_
_atom_site_label
_atom_site_type_symbol
_atom_site_fract_x
_atom_site_fract_y
_atom_site_fract_z
_atom_site_occupancy
V1 V 0.000 0.165 0.000 1
Pd1 Pd 0.235 0.000 0.237 1
Pd2 Pd 0.248 0.173 0.765 1
Au1 Au 0.000 0.000 0.500 1
Au2 Au 0.000 0.334 0.500 1
Au3 Au 0.000 0.500 0.000 1
```

Results
Distance to the lowest polymorph of the same formula, meV per atom: 56
E_form, meV per atom: -112

***

[8]
This record from Alexandria via LeMat-Bulk describes a relaxed HfPb2F crystal. The functional is PBE-GGA.

```
data_HfPb2F
_chemical_formula_sum 'Hf4 Pb8 F4'
_cell_length_a 7.174
_cell_length_b 7.174
_cell_length_c 7.174
_cell_angle_alpha 90.00
_cell_angle_beta 90.00
_cell_angle_gamma 90.00
_space_group_name_H-M_alt 'F m -3 m'
_space_group_IT_number 225
_space_group_name_Hall '-F 4 2 3'
loop_
_atom_site_label
_atom_site_type_symbol
_atom_site_fract_x
_atom_site_fract_y
_atom_site_fract_z
_atom_site_occupancy
Hf1 Hf 0.000 0.000 0.000 1
Pb1 Pb 0.250 0.250 0.250 1
F1 F 0.000 0.000 0.500 1
```

Results
Distance to the lowest polymorph of the same formula, meV per atom: 0

***

[9]
This record from Alexandria via LeMat-Bulk describes a relaxed CdPRh4 crystal. The functional is PBE-GGA.

```
data_CdPRh4
_chemical_formula_sum 'Cd4 P4 Rh16'
_cell_length_a 7.314
_cell_length_b 7.314
_cell_length_c 7.314
_cell_angle_alpha 90.00
_cell_angle_beta 90.00
_cell_angle_gamma 90.00
_space_group_name_H-M_alt 'F -4 3 m'
_space_group_IT_number 216
_space_group_name_Hall 'F -4 2 3'
loop_
_atom_site_label
_atom_site_type_symbol
_atom_site_fract_x
_atom_site_fract_y
_atom_site_fract_z
_atom_site_occupancy
Cd1 Cd 0.000 0.000 0.000 1
P1 P 0.250 0.250 0.750 1
Rh1 Rh 0.125 0.125 0.375 1
```

Results
E_form, meV per atom: 352

***

[10]
This record from Alexandria via LeMat-Bulk describes a relaxed Be3Co2Au crystal. The functional is PBE-GGA.

```
data_Be3Co2Au
_chemical_formula_sum 'Be3 Co2 Au1'
_cell_length_a 2.741
_cell_length_b 2.741
_cell_length_c 8.052
_cell_angle_alpha 90.00
_cell_angle_beta 90.00
_cell_angle_gamma 90.00
_space_group_name_H-M_alt 'P 4/m m m'
_space_group_IT_number 123
_space_group_name_Hall '-P 4 2'
loop_
_atom_site_label
_atom_site_type_symbol
_atom_site_fract_x
_atom_site_fract_y
_atom_site_fract_z
_atom_site_occupancy
Be1 Be 0.000 0.000 0.000 1
Be2 Be 0.000 0.000 0.287 1
Co1 Co 0.500 0.500 0.154 1
Au1 Au 0.500 0.500 0.500 1
```

Results
E_form, meV per atom: -262

***

[11]
This record from Alexandria via LeMat-Bulk describes a relaxed Sr3Ce2NdP6 crystal. The functional is PBE-GGA.

```
data_Sr3Ce2NdP6
_chemical_formula_sum 'Sr6 Ce4 Nd2 P12'
_cell_length_a 7.338
_cell_length_b 12.718
_cell_length_c 7.374
_cell_angle_alpha 90.00
_cell_angle_beta 109.41
_cell_angle_gamma 90.00
_space_group_name_H-M_alt 'C 1 2/m 1'
_space_group_IT_number 12
loop_
_space_group_symop_operation_xyz
'x,y,z'
'-x,-y,-z'
'-x,y,-z'
'x,-y,z'
'x+1/2,y+1/2,z'
'-x+1/2,-y+1/2,-z'
'-x+1/2,y+1/2,-z'
'x+1/2,-y+1/2,z'
loop_
_atom_site_label
_atom_site_type_symbol
_atom_site_fract_x
_atom_site_fract_y
_atom_site_fract_z
_atom_site_occupancy
Sr1 Sr 0.000 0.000 0.000 1
Sr2 Sr 0.000 0.335 0.000 1
Ce1 Ce 0.000 0.167 0.500 1
Nd1 Nd 0.000 0.500 0.500 1
P1 P 0.232 0.000 0.721 1
P2 P 0.245 0.329 0.721 1
```

Results
E_form, meV per atom: -1237

***

[12]
This record from Alexandria via LeMat-Bulk describes a relaxed NaY2Ga crystal. The functional is PBE-GGA.

```
data_NaY2Ga
_chemical_formula_sum 'Na4 Y8 Ga4'
_cell_length_a 4.635
_cell_length_b 4.635
_cell_length_c 21.870
_cell_angle_alpha 90.00
_cell_angle_beta 90.00
_cell_angle_gamma 90.00
_space_group_name_H-M_alt 'I -4 2 d'
_space_group_IT_number 122
_space_group_name_Hall 'I -4 2bw'
loop_
_atom_site_label
_atom_site_type_symbol
_atom_site_fract_x
_atom_site_fract_y
_atom_site_fract_z
_atom_site_occupancy
Na1 Na 0.000 0.000 0.000 1
Y1 Y 0.228 0.250 0.625 1
Ga1 Ga 0.000 0.000 0.500 1
```

Results
E_form, meV per atom: 307

***

Number 1: volume 4244 Å³ per cell. Number 2: volume 129 Å³ per cell. Number 3: volume 205 Å³ per cell. Number 4: volume 246 Å³ per cell. Number 5: volume 189 Å³ per cell. Number 6: volume 691 Å³ per cell. Number 7: volume 385 Å³ per cell. Number 8: volume 369 Å³ per cell. Number 9: volume 391 Å³ per cell. Number 10: volume 61 Å³ per cell. Number 11: volume 649 Å³ per cell. Number 12: volume 470 Å³ per cell.